Entry 1:
The following is a PBE-GGA calculation of an optimized crystal structure of Y8Si3PS4, from the Alexandria database.

Cell: 8.0443 8.0443 19.7749 Å, 90.00 90.00 120.00°
Space group R-3m (No. 166, hexagonal axes)
Unique sites:
Y1 0.0000 0.0000 0.2493 [6 per cell]
Y2 0.0007 0.5004 0.2479 [18 per cell]
Si1 0.0000 0.5000 0.5000 [9 per cell]
P1 0.0000 0.0000 0.5000 [3 per cell]
S1 0.0000 0.0000 0.0000 [3 per cell]
S2 0.0000 0.5000 0.0000 [9 per cell]

* formation energy from raw total energies: -1.53 eV/atom



Entry 2:
The following is a PBE-GGA calculation of an optimized crystal structure of YSiPS2, from the Alexandria database.

Cell: 5.154 5.154 5.302 Å, 90.00 90.00 90.00°
Space group P4/mmm (No. 123)
Unique sites:
Y1 0.000 0.000 0.000 [1 per cell]
Si1 0.500 0.500 0.500 [1 per cell]
P1 0.000 0.000 0.500 [1 per cell]
S1 0.000 0.500 0.000 [2 per cell]

* formation energy from raw total energies: 0.36 eV/atom



Entry 3:
The following is a PBE-GGA calculation of an optimized crystal structure of Y4SiPS2, from the Alexandria database.

Cell: 6.943 4.007 6.946 Å, 90.00 109.42 90.00°
Space group P2/m (No. 10)
Unique sites:
Y1 0.242 0.000 0.247 [2 per cell]
Y2 0.245 0.500 0.749 [2 per cell]
Si1 0.000 0.000 0.500 [1 per cell]
P1 0.000 0.500 0.000 [1 per cell]
S1 0.500 0.000 0.000 [1 per cell]
S2 0.500 0.500 0.500 [1 per cell]

* formation energy from raw total energies: -1.65 eV/atom



Entry 4:
The following is a PBE-GGA calculation of an optimized crystal structure of YSiPS2, from the Alexandria database.

Cell: 4.584 4.584 4.576 Å, 90.00 90.00 90.00°
Space group P4/mmm (No. 123)
Unique sites:
Y1 0.000 0.000 0.000 [1 per cell]
Si1 0.500 0.500 0.500 [1 per cell]
P1 0.500 0.500 0.000 [1 per cell]
S1 0.000 0.500 0.500 [2 per cell]

* formation energy from raw total energies: -0.52 eV/atom



Entry 5:
The following is a PBE-GGA calculation of an optimized crystal structure of ZnSiPS2, from the Alexandria database.

Cell: 4.459 4.459 4.696 Å, 90.00 90.00 90.00°
Space group P4/mmm (No. 123)
Unique sites:
Zn1 0.000 0.000 0.000 [1 per cell]
Si1 0.500 0.500 0.500 [1 per cell]
P1 0.500 0.500 0.000 [1 per cell]
S1 0.000 0.500 0.500 [2 per cell]

* formation energy from raw total energies: 0.47 eV/atom



Entry 6:
The following is a PBE-GGA calculation of an optimized crystal structure of ZrSiPS2, from the Alexandria database.

Cell: 4.914 4.914 5.132 Å, 90.00 90.00 90.00°
Space group P4/mmm (No. 123)
Unique sites:
Zr1 0.000 0.000 0.000 [1 per cell]
Si1 0.500 0.500 0.500 [1 per cell]
P1 0.000 0.000 0.500 [1 per cell]
S1 0.000 0.500 0.000 [2 per cell]

* formation energy from raw total energies: 0.16 eV/atom



Entry 7:
The following is a PBE-GGA calculation of an optimized crystal structure of ZrSiPS2, from the Alexandria database.

Cell: 4.451 4.451 4.574 Å, 90.00 90.00 90.00°
Space group P4/mmm (No. 123)
Unique sites:
Zr1 0.000 0.000 0.000 [1 per cell]
Si1 0.500 0.500 0.500 [1 per cell]
P1 0.500 0.500 0.000 [1 per cell]
S1 0.000 0.500 0.500 [2 per cell]

* formation energy from raw total energies: -0.05 eV/atom



Entry 8:
The following is a PBE-GGA calculation of an optimized crystal structure of Sm2PS5, from the Alexandria database.

Cell: 8.634 10.124 5.593 Å, 90.00 127.26 90.00°
Space group Cm (No. 8)
Unique sites:
Sm1 0.000 0.228 0.000 [4 per cell]
P1 0.446 0.000 0.432 [2 per cell]
S1 0.151 0.000 0.309 [2 per cell]
S2 0.269 0.500 0.839 [2 per cell]
S3 0.420 0.000 0.031 [2 per cell]
S4 0.421 0.239 0.424 [4 per cell]

* formation energy from raw total energies: -1.15 eV/atom